No. 1
Here is crystalline La2AsOs at its relaxed geometry from Alexandria via LeMat-Bulk. Energies are from PBE.

Computed properties:
- V (Å³ per cell) = 200.67
- crystal system = orthorhombic
- uncorrected energy (eV/cell) = -55.37
- total moment (μB/f.u.) = 0.00

abc: 3.792 4.495 11.774
angles: 90.00 90.00 90.00
Space group Imm2 (No. 44)
Inequivalent atoms, fractional coordinates:
La  0.000  0.000  0.000
La  0.000  0.500  0.230
As  0.000  0.000  0.414
Os  0.000  0.500  0.769

---

No. 2
Here is crystalline LaAs4Os at its relaxed geometry from Alexandria via LeMat-Bulk. Energies are from PBE.

Computed properties:
- V (Å³ per cell) = 486.07
- crystal system = cubic
- uncorrected energy (eV/cell) = -129.96
- total moment (μB/f.u.) = 0.00

abc: 7.863 7.863 7.863
angles: 90.00 90.00 90.00
Space group F-43m (No. 216)
Inequivalent atoms, fractional coordinates:
La  0.000  0.000  0.000
As  0.123  0.123  0.377
Os  0.250  0.250  0.750

---

No. 3
Here is crystalline LaAsOs at its relaxed geometry from Alexandria via LeMat-Bulk. Energies are from PBE.

Computed properties:
- V (Å³ per cell) = 273.94
- crystal system = monoclinic
- uncorrected energy (eV/cell) = -89.92
- total moment (μB/f.u.) = 0.00

abc: 11.143 4.401 5.790
angles: 90.00 105.23 90.00
Space group C2/m (No. 12)
Inequivalent atoms, fractional coordinates:
La  0.119  0.000  0.303
As  0.105  0.500  0.778
Os  0.200  0.000  0.845

---

What is the V in the third record? 273.94 Å³ per cell

---

Among the records above, which one has the lowest V? La2AsOs

---

What did the second record say?
Here is crystalline LaAs4Os at its relaxed geometry from Alexandria via LeMat-Bulk. Energies are from PBE.

Computed properties:
- V (Å³ per cell) = 486.07
- crystal system = cubic
- uncorrected energy (eV/cell) = -129.96
- total moment (μB/f.u.) = 0.00

abc: 7.863 7.863 7.863
angles: 90.00 90.00 90.00
Space group F-43m (No. 216)
Inequivalent atoms, fractional coordinates:
La  0.000  0.000  0.000
As  0.123  0.123  0.377
Os  0.250  0.250  0.750